# 1
Computed, not measured: a relaxed Er5Te2Au2 crystal at the GGA-PBE level of DFT.

Energy relative to the elements, uncorrected = -0.989 eV per atom
Crystal system = orthorhombic

Geometry as CIF:
```
data_Er5Te2Au2
_space_group_name_H-M_alt 'P 1'
_space_group_IT_number 1
_cell_length_a 8.619
_cell_length_b 8.619
_cell_length_c 7.904
_cell_angle_alpha 90.00
_cell_angle_beta 90.00
_cell_angle_gamma 54.87
loop_
_space_group_symop_operation_xyz
'x,y,z'
loop_
_atom_site_label
_atom_site_fract_x
_atom_site_fract_y
_atom_site_fract_z
Er1 0.000 0.000 0.000
Er2 0.040 0.716 0.660
Er3 0.216 0.540 0.160
Er4 0.284 0.960 0.660
Er5 0.460 0.784 0.160
Er6 0.500 0.500 0.500
Er7 0.540 0.216 0.840
Er8 0.716 0.040 0.340
Er9 0.784 0.460 0.840
Er10 0.960 0.284 0.340
Te1 0.207 0.207 0.000
Te2 0.293 0.293 0.500
Te3 0.707 0.707 0.500
Te4 0.793 0.793 0.000
Au1 0.136 0.864 0.366
Au2 0.364 0.636 0.866
Au3 0.636 0.364 0.134
Au4 0.864 0.136 0.634
```

---

# 2
Computed, not measured: a relaxed Er7Te2Au2 crystal at the GGA-PBE level of DFT.

ΔE to the lowest computed polymorph = 0.00 eV/f.u.
Energy relative to the elements, uncorrected = -0.829 eV per atom
Crystal system = monoclinic

Geometry as CIF:
```
data_Er7Te2Au2
_space_group_name_H-M_alt 'P 1'
_space_group_IT_number 1
_cell_length_a 9.266
_cell_length_b 9.266
_cell_length_c 17.101
_cell_angle_alpha 104.14
_cell_angle_beta 104.14
_cell_angle_gamma 24.86
loop_
_space_group_symop_operation_xyz
'x,y,z'
loop_
_atom_site_label
_atom_site_fract_x
_atom_site_fract_y
_atom_site_fract_z
Er1 0.000 0.000 0.000
Er2 0.001 0.001 0.333
Er3 0.176 0.176 0.532
Er4 0.191 0.191 0.320
Er5 0.220 0.220 0.805
Er6 0.338 0.338 0.018
Er7 0.426 0.426 0.828
Er8 0.500 0.500 0.500
Er9 0.574 0.574 0.172
Er10 0.662 0.662 0.982
Er11 0.780 0.780 0.195
Er12 0.809 0.809 0.680
Er13 0.824 0.824 0.468
Er14 0.999 0.999 0.667
Te1 0.066 0.066 0.851
Te2 0.366 0.366 0.338
Te3 0.634 0.634 0.662
Te4 0.934 0.934 0.149
Au1 0.169 0.169 0.112
Au2 0.382 0.382 0.601
Au3 0.618 0.618 0.399
Au4 0.831 0.831 0.888
```